Computed, not measured: a relaxed CaMgBr2 crystal at the PBE-GGA level of DFT.

Computed properties:
Size of the total moment: 0.00 μB per formula unit
ΔE to the lowest computed polymorph: 118.3 meV/atom

```
data_CaMgBr2
_chemical_formula_sum 'Ca1 Mg1 Br2'
_cell_length_a 3.612
_cell_length_b 3.615
_cell_length_c 10.584
_cell_angle_alpha 90.00
_cell_angle_beta 92.67
_cell_angle_gamma 90.00
_symmetry_space_group_name_H-M 'P 1 2/m 1'
_symmetry_Int_Tables_number 10
loop_
_symmetry_equiv_pos_as_xyz
'x,y,z'
'-x,-y,-z'
'-x,y,-z'
'x,-y,z'
loop_
_atom_site_label
_atom_site_fract_x
_atom_site_fract_y
_atom_site_fract_z
Ca1 0.000 0.000 0.000
Mg1 0.500 0.000 0.500
Br1 0.477 0.500 0.839
```

***

Computed, not measured: a relaxed CaEuBi2 crystal at the PBE-GGA level of DFT.

Computed properties:
Size of the total moment: 7.01 μB per formula unit
ΔE to the lowest computed polymorph: 0.0 meV/atom
Energy of formation from the pure elements: -738.6 meV/atom

```
data_CaEuBi2
_chemical_formula_sum 'Ca1 Eu1 Bi2'
_cell_length_a 5.391
_cell_length_b 5.391
_cell_length_c 4.428
_cell_angle_alpha 90.00
_cell_angle_beta 90.00
_cell_angle_gamma 90.00
_symmetry_space_group_name_H-M 'P 4/m m m'
_symmetry_Int_Tables_number 123
_symmetry_space_group_name_Hall '-P 4 2'
loop_
_atom_site_label
_atom_site_fract_x
_atom_site_fract_y
_atom_site_fract_z
Ca1 0.000 0.000 0.000
Eu1 0.500 0.500 0.000
Bi1 0.000 0.500 0.500
```

***

Computed, not measured: a relaxed RbMgCdHg2 crystal at the PBE-GGA level of DFT.

Computed properties:
Size of the total moment: 0.00 μB per formula unit
Energy of formation from the pure elements: -55.1 meV/atom

```
data_RbMgCdHg2
_chemical_formula_sum 'Rb1 Mg1 Cd1 Hg2'
_cell_length_a 5.647
_cell_length_b 5.647
_cell_length_c 5.610
_cell_angle_alpha 90.00
_cell_angle_beta 90.00
_cell_angle_gamma 90.00
_symmetry_space_group_name_H-M 'P 4/m m m'
_symmetry_Int_Tables_number 123
_symmetry_space_group_name_Hall '-P 4 2'
loop_
_atom_site_label
_atom_site_fract_x
_atom_site_fract_y
_atom_site_fract_z
Rb1 0.000 0.000 0.000
Mg1 0.500 0.500 0.500
Cd1 0.500 0.500 0.000
Hg1 0.000 0.500 0.500
```

***

Computed, not measured: a relaxed Tm2Co5Si2Ge crystal at the PBE-GGA level of DFT.

Computed properties:
Size of the total moment: 0.00 μB per formula unit
Uncorrected energy: -6.46 eV/atom

```
data_Tm2Co5Si2Ge
_chemical_formula_sum 'Tm4 Co10 Si4 Ge2'
_cell_length_a 9.261
_cell_length_b 9.261
_cell_length_c 3.282
_cell_angle_alpha 90.00
_cell_angle_beta 90.00
_cell_angle_gamma 90.00
_symmetry_space_group_name_H-M 'P 4/m b m'
_symmetry_Int_Tables_number 127
_symmetry_space_group_name_Hall '-P 4 2ab'
loop_
_atom_site_label
_atom_site_fract_x
_atom_site_fract_y
_atom_site_fract_z
Tm1 0.178 0.322 0.000
Co1 0.000 0.500 0.500
Co2 0.065 0.787 0.500
Si1 0.119 0.619 0.000
Ge1 0.000 0.000 0.000
```

***

Computed, not measured: a relaxed NaAcAg4 crystal at the PBE-GGA level of DFT.

Computed properties:
Size of the total moment: 0.00 μB per formula unit
Energy of formation from the pure elements: -134.7 meV/atom

```
data_NaAcAg4
_chemical_formula_sum 'Na4 Ac4 Ag16'
_cell_length_a 8.237
_cell_length_b 8.237
_cell_length_c 8.237
_cell_angle_alpha 90.00
_cell_angle_beta 90.00
_cell_angle_gamma 90.00
_symmetry_space_group_name_H-M 'F -4 3 m'
_symmetry_Int_Tables_number 216
_symmetry_space_group_name_Hall 'F -4 2 3'
loop_
_atom_site_label
_atom_site_fract_x
_atom_site_fract_y
_atom_site_fract_z
Na1 0.000 0.000 0.000
Ac1 0.250 0.250 0.250
Ag1 0.126 0.126 0.626
```

***

Computed, not measured: a relaxed KIn2AgBr8 crystal at the PBE-GGA level of DFT.

Computed properties:
Size of the total moment: 0.00 μB per formula unit
Uncorrected energy: -2.77 eV/atom

```
data_KIn2AgBr8
_chemical_formula_sum 'K2 In4 Ag2 Br16'
_cell_length_a 12.934
_cell_length_b 12.934
_cell_length_c 7.731
_cell_angle_alpha 90.00
_cell_angle_beta 90.00
_cell_angle_gamma 90.00
_symmetry_space_group_name_H-M 'I -4 m 2'
_symmetry_Int_Tables_number 119
_symmetry_space_group_name_Hall 'I -4 -2'
loop_
_atom_site_label
_atom_site_fract_x
_atom_site_fract_y
_atom_site_fract_z
K1 0.000 0.000 0.000
In1 0.000 0.000 0.500
In2 0.000 0.500 0.250
Ag1 0.000 0.500 0.750
Br1 0.000 0.162 0.686
Br2 0.000 0.354 0.024
```

***

Computed, not measured: a relaxed Zr5Bi2Sb crystal at the PBE-GGA level of DFT.

Computed properties:
Size of the total moment: 0.00 μB per formula unit
Uncorrected energy: -7.19 eV/atom

```
data_Zr5Bi2Sb
_chemical_formula_sum 'Zr10 Bi4 Sb2'
_cell_length_a 6.299
_cell_length_b 12.207
_cell_length_c 4.866
_cell_angle_alpha 90.00
_cell_angle_beta 90.00
_cell_angle_gamma 90.00
_symmetry_space_group_name_H-M 'P b a m'
_symmetry_Int_Tables_number 55
loop_
_symmetry_equiv_pos_as_xyz
'x,y,z'
'-x,-y,-z'
'-x,-y,z'
'x,y,-z'
'x+1/2,-y+1/2,-z'
'-x+1/2,y+1/2,z'
'-x+1/2,y+1/2,-z'
'x+1/2,-y+1/2,z'
loop_
_atom_site_label
_atom_site_fract_x
_atom_site_fract_y
_atom_site_fract_z
Zr1 0.000 0.000 0.000
Zr2 0.079 0.257 0.000
Zr3 0.179 0.601 0.500
Bi1 0.158 0.853 0.500
Sb1 0.000 0.500 0.000
```

***

Computed, not measured: a relaxed SrSmGe crystal at the PBE-GGA level of DFT.

Computed properties:
Size of the total moment: 0.72 μB per formula unit
Energy of formation from the pure elements: -425.5 meV/atom

```
data_SrSmGe
_chemical_formula_sum 'Sr4 Sm4 Ge4'
_cell_length_a 11.330
_cell_length_b 4.491
_cell_length_c 8.694
_cell_angle_alpha 90.00
_cell_angle_beta 120.85
_cell_angle_gamma 90.00
_symmetry_space_group_name_H-M 'C 1 2/m 1'
_symmetry_Int_Tables_number 12
loop_
_symmetry_equiv_pos_as_xyz
'x,y,z'
'-x,-y,-z'
'-x,y,-z'
'x,-y,z'
'x+1/2,y+1/2,z'
'-x+1/2,-y+1/2,-z'
'-x+1/2,y+1/2,-z'
'x+1/2,-y+1/2,z'
loop_
_atom_site_label
_atom_site_fract_x
_atom_site_fract_y
_atom_site_fract_z
Sr1 0.183 0.000 0.098
Sm1 0.094 0.500 0.385
Ge1 0.121 0.000 0.648
```

***

Computed, not measured: a relaxed CsHfRh3 crystal at the PBE-GGA level of DFT.

Computed properties:
Size of the total moment: 0.00 μB per formula unit
ΔE to the lowest computed polymorph: 1233.2 meV/atom
Energy of formation from the pure elements: 1885.1 meV/atom

```
data_CsHfRh3
_chemical_formula_sum 'Cs1 Hf1 Rh3'
_cell_length_a 4.882
_cell_length_b 4.882
_cell_length_c 4.882
_cell_angle_alpha 90.00
_cell_angle_beta 90.00
_cell_angle_gamma 90.00
_symmetry_space_group_name_H-M 'P m -3 m'
_symmetry_Int_Tables_number 221
_symmetry_space_group_name_Hall '-P 4 2 3'
loop_
_atom_site_label
_atom_site_fract_x
_atom_site_fract_y
_atom_site_fract_z
Cs1 0.000 0.000 0.000
Hf1 0.500 0.500 0.500
Rh1 0.000 0.000 0.500
```

***

Computed, not measured: a relaxed Y2MgIr crystal at the PBE-GGA level of DFT.

Computed properties:
Size of the total moment: 0.00 μB per formula unit
Energy of formation from the pure elements: -375.5 meV/atom

```
data_Y2MgIr
_chemical_formula_sum 'Y2 Mg1 Ir1'
_cell_length_a 4.010
_cell_length_b 4.394
_cell_length_c 5.874
_cell_angle_alpha 90.00
_cell_angle_beta 109.88
_cell_angle_gamma 90.00
_symmetry_space_group_name_H-M 'P 1 m 1'
_symmetry_Int_Tables_number 6
loop_
_symmetry_equiv_pos_as_xyz
'x,y,z'
'x,-y,z'
loop_
_atom_site_label
_atom_site_fract_x
_atom_site_fract_y
_atom_site_fract_z
Y1 0.000 0.000 0.000
Y2 0.279 0.500 0.559
Mg1 0.706 0.000 0.415
Ir1 0.569 0.500 0.136
```

***

Computed, not measured: a relaxed TbPr2Rh3 crystal at the PBE-GGA level of DFT.

Computed properties:
Size of the total moment: 0.00 μB per formula unit
ΔE to the lowest computed polymorph: 0.0 meV/atom
Energy of formation from the pure elements: -661.7 meV/atom

```
data_TbPr2Rh3
_chemical_formula_sum 'Tb4 Pr8 Rh12'
_cell_length_a 4.922
_cell_length_b 14.854
_cell_length_c 7.206
_cell_angle_alpha 90.00
_cell_angle_beta 90.00
_cell_angle_gamma 90.00
_symmetry_space_group_name_H-M 'C m m m'
_symmetry_Int_Tables_number 65
_symmetry_space_group_name_Hall '-C 2 2'
loop_
_atom_site_label
_atom_site_fract_x
_atom_site_fract_y
_atom_site_fract_z
Tb1 0.000 0.168 0.000
Pr1 0.000 0.167 0.500
Pr2 0.000 0.500 0.000
Pr3 0.000 0.500 0.500
Rh1 0.000 0.000 0.244
Rh2 0.000 0.330 0.238
```

***

Computed, not measured: a relaxed CdGeBi3 crystal at the PBE-GGA level of DFT.

Computed properties:
Size of the total moment: 0.00 μB per formula unit
ΔE to the lowest computed polymorph: 241.8 meV/atom
Energy of formation from the pure elements: 816.8 meV/atom

```
data_CdGeBi3
_chemical_formula_sum 'Cd1 Ge1 Bi3'
_cell_length_a 5.630
_cell_length_b 5.630
_cell_length_c 5.630
_cell_angle_alpha 90.00
_cell_angle_beta 90.00
_cell_angle_gamma 90.00
_symmetry_space_group_name_H-M 'P m -3 m'
_symmetry_Int_Tables_number 221
_symmetry_space_group_name_Hall '-P 4 2 3'
loop_
_atom_site_label
_atom_site_fract_x
_atom_site_fract_y
_atom_site_fract_z
Cd1 0.000 0.000 0.000
Ge1 0.500 0.500 0.500
Bi1 0.000 0.000 0.500
```

***

Computed, not measured: a relaxed BaSmMgIn crystal at the PBE-GGA level of DFT.

Computed properties:
Size of the total moment: 0.00 μB per formula unit
Energy of formation from the pure elements: -172.9 meV/atom

```
data_BaSmMgIn
_chemical_formula_sum 'Ba4 Sm4 Mg4 In4'
_cell_length_a 8.104
_cell_length_b 8.104
_cell_length_c 8.104
_cell_angle_alpha 90.00
_cell_angle_beta 90.00
_cell_angle_gamma 90.00
_symmetry_space_group_name_H-M 'F -4 3 m'
_symmetry_Int_Tables_number 216
_symmetry_space_group_name_Hall 'F -4 2 3'
loop_
_atom_site_label
_atom_site_fract_x
_atom_site_fract_y
_atom_site_fract_z
Ba1 0.000 0.000 0.000
Sm1 0.000 0.000 0.500
Mg1 0.250 0.250 0.250
In1 0.250 0.250 0.750
```

***

Computed, not measured: a relaxed PmCo2Si3 crystal at the PBE-GGA level of DFT.

Computed properties:
Size of the total moment: 0.00 μB per formula unit
ΔE to the lowest computed polymorph: 0.0 meV/atom

```
data_PmCo2Si3
_chemical_formula_sum 'Pm4 Co8 Si12'
_cell_length_a 9.591
_cell_length_b 7.317
_cell_length_c 5.023
_cell_angle_alpha 90.00
_cell_angle_beta 90.00
_cell_angle_gamma 90.00
_symmetry_space_group_name_H-M 'C m c m'
_symmetry_Int_Tables_number 63
_symmetry_space_group_name_Hall '-C 2c 2'
loop_
_atom_site_label
_atom_site_fract_x
_atom_site_fract_y
_atom_site_fract_z
Pm1 0.000 0.162 0.250
Co1 0.196 0.500 0.000
Si1 0.000 0.430 0.750
Si2 0.193 0.217 0.750
```

***

Computed, not measured: a relaxed NaYFe2 crystal at the PBE-GGA level of DFT.

Computed properties:
Size of the total moment: 4.62 μB per formula unit
ΔE to the lowest computed polymorph: 0.0 meV/atom
Energy of formation from the pure elements: 725.4 meV/atom

```
data_NaYFe2
_chemical_formula_sum 'Na4 Y4 Fe8'
_cell_length_a 6.792
_cell_length_b 6.792
_cell_length_c 6.792
_cell_angle_alpha 90.00
_cell_angle_beta 90.00
_cell_angle_gamma 90.00
_symmetry_space_group_name_H-M 'F m -3 m'
_symmetry_Int_Tables_number 225
_symmetry_space_group_name_Hall '-F 4 2 3'
loop_
_atom_site_label
_atom_site_fract_x
_atom_site_fract_y
_atom_site_fract_z
Na1 0.000 0.000 0.000
Y1 0.000 0.000 0.500
Fe1 0.250 0.250 0.250
```

***

Computed, not measured: a relaxed CuSiF3 crystal at the PBE-GGA level of DFT.

Computed properties:
Size of the total moment: 0.00 μB per formula unit
ΔE to the lowest computed polymorph: 0.0 meV/atom

```
data_CuSiF3
_chemical_formula_sum 'Cu1 Si1 F3'
_cell_length_a 4.119
_cell_length_b 4.119
_cell_length_c 4.119
_cell_angle_alpha 90.00
_cell_angle_beta 90.00
_cell_angle_gamma 90.00
_symmetry_space_group_name_H-M 'P m -3 m'
_symmetry_Int_Tables_number 221
_symmetry_space_group_name_Hall '-P 4 2 3'
loop_
_atom_site_label
_atom_site_fract_x
_atom_site_fract_y
_atom_site_fract_z
Cu1 0.000 0.000 0.000
Si1 0.500 0.500 0.500
F1 0.000 0.500 0.500
```

***

Computed, not measured: a relaxed Y3RhAu2 crystal at the PBE-GGA level of DFT.

Computed properties:
Size of the total moment: 0.00 μB per formula unit
Energy of formation from the pure elements: -782.5 meV/atom

```
data_Y3RhAu2
_chemical_formula_sum 'Y12 Rh4 Au8'
_cell_length_a 11.905
_cell_length_b 4.333
_cell_length_c 11.267
_cell_angle_alpha 90.00
_cell_angle_beta 90.00
_cell_angle_gamma 90.00
_symmetry_space_group_name_H-M 'P n m a'
_symmetry_Int_Tables_number 62
loop_
_symmetry_equiv_pos_as_xyz
'x,y,z'
'-x,-y,-z'
'-x+1/2,-y,z+1/2'
'x+1/2,y,-z+1/2'
'x+1/2,-y+1/2,-z+1/2'
'-x+1/2,y+1/2,z+1/2'
'-x,y+1/2,-z'
'x,-y+1/2,z'
loop_
_atom_site_label
_atom_site_fract_x
_atom_site_fract_y
_atom_site_fract_z
Y1 0.043 0.250 0.129
Y2 0.117 0.750 0.554
Y3 0.240 0.250 0.794
Rh1 0.127 0.250 0.376
Au1 0.010 0.250 0.697
Au2 0.182 0.750 0.013
```

***

Computed, not measured: a relaxed Pm5InSe4 crystal at the PBE-GGA level of DFT.

Computed properties:
Size of the total moment: 0.00 μB per formula unit
Uncorrected energy: -5.60 eV/atom

```
data_Pm5InSe4
_chemical_formula_sum 'Pm10 In2 Se8'
_cell_length_a 9.543
_cell_length_b 9.543
_cell_length_c 6.014
_cell_angle_alpha 90.00
_cell_angle_beta 90.00
_cell_angle_gamma 90.00
_symmetry_space_group_name_H-M 'I 4/m'
_symmetry_Int_Tables_number 87
_symmetry_space_group_name_Hall '-I 4'
loop_
_atom_site_label
_atom_site_fract_x
_atom_site_fract_y
_atom_site_fract_z
Pm1 0.000 0.000 0.000
Pm2 0.100 0.694 0.500
In1 0.000 0.000 0.500
Se1 0.102 0.700 0.000
```

***

Computed, not measured: a relaxed Sr2CaAs crystal at the PBE-GGA level of DFT.

Computed properties:
Size of the total moment: 0.00 μB per formula unit
Energy of formation from the pure elements: -375.1 meV/atom

```
data_Sr2CaAs
_chemical_formula_sum 'Sr2 Ca1 As1'
_cell_length_a 5.244
_cell_length_b 5.244
_cell_length_c 4.864
_cell_angle_alpha 90.00
_cell_angle_beta 90.00
_cell_angle_gamma 90.00
_symmetry_space_group_name_H-M 'P 4/m m m'
_symmetry_Int_Tables_number 123
_symmetry_space_group_name_Hall '-P 4 2'
loop_
_atom_site_label
_atom_site_fract_x
_atom_site_fract_y
_atom_site_fract_z
Sr1 0.000 0.500 0.000
Ca1 0.000 0.000 0.500
As1 0.500 0.500 0.500
```

***

Computed, not measured: a relaxed Ta8Mo2W crystal at the PBE-GGA level of DFT.

Computed properties:
Size of the total moment: 0.00 μB per formula unit
Energy of formation from the pure elements: -106.3 meV/atom

```
data_Ta8Mo2W
_chemical_formula_sum 'Ta16 Mo4 W2'
_cell_length_a 13.463
_cell_length_b 4.643
_cell_length_c 7.099
_cell_angle_alpha 90.00
_cell_angle_beta 119.59
_cell_angle_gamma 90.00
_symmetry_space_group_name_H-M 'C 1 2/m 1'
_symmetry_Int_Tables_number 12
loop_
_symmetry_equiv_pos_as_xyz
'x,y,z'
'-x,-y,-z'
'-x,y,-z'
'x,-y,z'
'x+1/2,y+1/2,z'
'-x+1/2,-y+1/2,-z'
'-x+1/2,y+1/2,-z'
'x+1/2,-y+1/2,z'
loop_
_atom_site_label
_atom_site_fract_x
_atom_site_fract_y
_atom_site_fract_z
Ta1 0.050 0.000 0.227
Ta2 0.094 0.500 0.953
Ta3 0.137 0.000 0.689
Ta4 0.180 0.500 0.420
Mo1 0.225 0.000 0.136
W1 0.000 0.500 0.500
```